1.
Nd5Sm3Tm2 PBE optimized geometry; crystal system = monoclinic; E_tot = -4.5201 eV/atom; energy of formation = 0.1738 eV/atom; energy relative to the lowest polymorph listed for this composition = 0.000 eV per atom; magnetic moment = 0.0 μB per cell
1.0
-0.3153 -9.5120 3.2915
7.0425 -6.0936 -3.8378
1.2377 9.5900 5.8788
Nd Sm Tm
10 6 4
Cartesian
3.6468 -5.3454 -0.8470 Nd
4.3180 -0.6703 6.1795 Nd
6.1107 0.3064 0.3169 Nd
2.4013 -1.4147 3.8445 Nd
1.8541 -6.3220 5.0155 Nd
5.5635 -4.6010 1.4880 Nd
5.0941 -4.9547 4.8936 Nd
2.8707 -1.0610 0.4388 Nd
1.6789 2.8906 5.1957 Nd
6.2859 -8.9062 0.1368 Nd
8.0125 1.0450 2.6338 Sm
-0.0476 -7.0607 2.6987 Sm
3.4102 -7.3398 2.0345 Sm
4.5546 1.3241 3.2979 Sm
5.7804 -2.6143 -1.4175 Sm
2.1844 -3.4014 6.7500 Sm
0.8987 -0.3831 6.8748 Tm
7.0662 -5.6326 -1.5423 Tm
5.8697 -1.6828 3.2088 Tm
2.0951 -4.3328 2.1236 Tm

2.
YMg3Mo PBE optimized geometry; crystal system = cubic; E_tot = -3.6793 eV/atom; energy of formation = 0.7365 eV/atom; energy relative to the lowest polymorph listed for this composition = 0.000 eV per atom; magnetic moment = 1.1 μB per cell
1.0
-1.6860 -4.2509 2.2127
2.4658 -2.7808 -3.4635
4.1092 -0.0755 2.9861
Y Mo Mg
1 1 3
Cartesian
2.4445 -3.5536 0.8677 Y
0.0000 0.0000 0.0000 Mo
1.2329 -1.3904 -1.7317 Mg
2.0546 -0.0378 1.4931 Mg
-0.8430 -2.1254 1.1063 Mg

3.
ZnTeAs2 PBE optimized geometry; crystal system = orthorhombic; E_tot = -3.2544 eV/atom; energy relative to the lowest polymorph listed for this composition = 0.288 eV per atom; magnetic moment = 0.0 μB per cell
1.0
7.4969 0.0725 0.0129
5.6293 4.9518 -0.0129
-6.4625 -2.7751 2.5971
As Te Zn
2 1 1
Cartesian
1.0660 0.4080 0.0000 As
2.2762 2.1191 1.2921 As
5.5926 2.1406 0.0000 Te
4.2922 0.0936 1.3050 Zn

4.
TaCr2Ga PBE optimized geometry; crystal system = tetragonal; E_tot = -8.5322 eV/atom; energy of formation = -0.0007 eV/atom; magnetic moment = 2.4 μB per cell
1.0
-0.6752 0.1431 3.1571
-0.7211 -4.1237 0.0327
4.0300 -0.6976 0.8936
Cr Ga Ta
2 1 1
Cartesian
2.0150 -0.3488 0.4468 Cr
-0.3605 -2.0619 0.0164 Cr
-0.3376 0.0716 1.5785 Ga
1.3169 -2.3391 2.0417 Ta

5.
Ba2U3RhO12 PBE optimized geometry; crystal system = trigonal; E_tot = -8.5385 eV/atom; magnetic moment = 1.0 μB per cell
1.0
-6.7813 0.5511 -3.1896
-4.8960 -5.4271 1.7436
-5.6214 1.9973 4.5688
Ba U Rh O
2 3 1 12
Cartesian
-11.5890 -1.9285 2.0921 Ba
-5.7097 -0.9501 1.0307 Ba
-3.3907 0.2756 -1.5948 U
-2.4480 -2.7135 0.8718 U
-2.8107 0.9987 2.2844 U
0.0000 0.0000 0.0000 Rh
-9.2405 0.3181 3.9171 O
-12.6558 -3.9431 0.0584 O
-11.9292 -3.0372 4.9183 O
-9.9745 -0.5970 -0.9924 O
-13.1102 0.7075 1.8282 O
-8.7815 -4.3799 2.1293 O
-8.0582 -3.1968 -0.7943 O
-4.6429 1.0644 3.0644 O
-5.3695 0.1586 -1.7955 O
-7.3242 -2.2816 4.1152 O
-4.1885 -3.5862 1.2947 O
-8.5172 1.5013 0.9935 O

6.
VGaFe4 PBE optimized geometry; crystal system = cubic; E_tot = -7.7314 eV/atom; energy of formation = -0.0654 eV/atom; energy relative to the lowest polymorph listed for this composition = 0.056 eV per atom; magnetic moment = 6.2 μB per cell
1.0
4.7144 0.0000 0.0000
2.3572 4.0828 0.0000
2.3572 1.3609 3.8493
Fe Ga V
4 1 1
Cartesian
4.7144 2.7218 0.4825 Fe
4.7144 1.3622 2.4053 Fe
5.8918 3.4017 2.4053 Fe
3.5369 3.4017 2.4053 Fe
0.0000 0.0000 0.0000 Ga
2.3572 1.3609 0.9623 V

Repeat the second record exactly.
YMg3Mo PBE optimized geometry; crystal system = cubic; E_tot = -3.6793 eV/atom; energy of formation = 0.7365 eV/atom; energy relative to the lowest polymorph listed for this composition = 0.000 eV per atom; magnetic moment = 1.1 μB per cell
1.0
-1.6860 -4.2509 2.2127
2.4658 -2.7808 -3.4635
4.1092 -0.0755 2.9861
Y Mo Mg
1 1 3
Cartesian
2.4445 -3.5536 0.8677 Y
0.0000 0.0000 0.0000 Mo
1.2329 -1.3904 -1.7317 Mg
2.0546 -0.0378 1.4931 Mg
-0.8430 -2.1254 1.1063 Mg